Entry 1:
# TlSb2P

An optimized crystal structure of TlSb2P (GGA-PBEsol, Alexandria).

Total DFT energy (no corrections) (eV/f.u.): -16.0
ΔE_f (raw) (eV per formula unit): 1.57
N(E_F) (states/eV per cell): 1.91

a = 4.414 Å, b = 4.414 Å, c = 4.961 Å
α = 90.00°, β = 90.00°, γ = 90.00°
Sites, in units of the cell vectors:
P  0.000  0.000  0.500
Sb  0.000  0.500  0.000
Tl  0.500  0.500  0.500
Sb  0.500  0.000  0.000

Entry 2:
# TlSb2P

An optimized crystal structure of TlSb2P (GGA-PBEsol, Alexandria).

Total DFT energy (no corrections) (eV/f.u.): -16.8
ΔE_f (raw) (eV per formula unit): 0.74
N(E_F) (states/eV per cell): 1.85

a = 3.052 Å, b = 3.571 Å, c = 9.325 Å
α = 90.00°, β = 89.99°, γ = 90.00°
Sites, in units of the cell vectors:
Tl  0.500  0.500  0.000
Sb  0.000  0.000  0.284
Sb  0.000  0.000  0.716
P  0.000  0.500  0.500

Entry 3:
# TlSbP2

An optimized crystal structure of TlSbP2 (GGA-PBEsol, Alexandria).

Total DFT energy (no corrections) (eV/f.u.): -18.0
ΔE_f (raw) (eV per formula unit): 0.80
N(E_F) (states/eV per cell): 1.95

a = 3.227 Å, b = 5.198 Å, c = 6.139 Å
α = 112.18°, β = 90.00°, γ = 108.08°
Sites, in units of the cell vectors:
P  0.711  0.421  0.150
Sb  0.461  0.921  0.442
P  0.052  0.103  0.136
Tl  0.277  0.555  0.773

Entry 4:
# Tl2SbP2

An optimized crystal structure of Tl2SbP2 (GGA-PBEsol, Alexandria).

Total DFT energy (no corrections) (eV/f.u.): -20.7
ΔE_f (raw) (eV per formula unit): 0.65
N(E_F) (states/eV per cell): 2.50

a = 3.276 Å, b = 3.276 Å, c = 11.444 Å
α = 98.23°, β = 98.23°, γ = 90.00°
Sites, in units of the cell vectors:
Tl  0.618  0.618  0.235
P  0.750  0.250  0.500
P  0.250  0.750  0.500
Sb  0.000  0.000  0.000
Tl  0.382  0.382  0.765

Entry 5:
# Tl3SbP

An optimized crystal structure of Tl3SbP (GGA-PBEsol, Alexandria).

Total DFT energy (no corrections) (eV/f.u.): -16.5
ΔE_f (raw) (eV per formula unit): 1.73
N(E_F) (states/eV per cell): 1.79

a = 5.245 Å, b = 5.245 Å, c = 5.245 Å
α = 90.00°, β = 90.00°, γ = 90.00°
Sites, in units of the cell vectors:
Tl  0.000  0.500  0.000
P  0.000  0.000  0.000
Sb  0.500  0.500  0.500
Tl  0.000  0.000  0.500
Tl  0.500  0.000  0.000

Entry 6:
# SbP2W

An optimized crystal structure of SbP2W (GGA-PBEsol, Alexandria).

Total DFT energy (no corrections) (eV/f.u.): -29.9
ΔE_f (raw) (eV per formula unit): 0.03
N(E_F) (states/eV per cell): 1.03

a = 3.239 Å, b = 4.384 Å, c = 5.758 Å
α = 95.75°, β = 90.00°, γ = 111.68°
Sites, in units of the cell vectors:
W  0.754  0.508  0.142
P  0.234  0.469  0.819
Sb  0.471  0.942  0.469
P  0.041  0.082  0.070

Entry 7:
# SbP4W

An optimized crystal structure of SbP4W (GGA-PBEsol, Alexandria).

Total DFT energy (no corrections) (eV/f.u.): -36.3
ΔE_f (raw) (eV per formula unit): 5.19
N(E_F) (states/eV per cell): 5.30

a = 5.072 Å, b = 5.072 Å, c = 5.072 Å
α = 60.00°, β = 60.00°, γ = 60.00°
Sites, in units of the cell vectors:
P  0.627  0.627  0.119
P  0.119  0.627  0.627
Sb  0.250  0.250  0.250
P  0.627  0.627  0.627
W  0.000  0.000  0.000
P  0.627  0.119  0.627

Entry 8:
# Sb3PW

An optimized crystal structure of Sb3PW (GGA-PBEsol, Alexandria).

Total DFT energy (no corrections) (eV/f.u.): -26.2
ΔE_f (raw) (eV per formula unit): 7.03
N(E_F) (states/eV per cell): 3.38

a = 4.964 Å, b = 4.964 Å, c = 4.964 Å
α = 90.00°, β = 90.00°, γ = 90.00°
Sites, in units of the cell vectors:
Sb  0.000  0.000  0.500
Sb  0.500  0.000  0.000
W  0.500  0.500  0.500
P  0.000  0.000  0.000
Sb  0.000  0.500  0.000